Density functional theory data (PBE) for a relaxed structure of PrDy2Tl9. Values from VASP.

Values from the calculation:
For the volume, the calculation gives 331.0 Å³ per cell. The space group is P4/mmm. The density is 11.6 g/cm³. Its crystal system is tetragonal. The calculation puts the formation energy at -0.266 eV/atom. Its size of the total moment is 0.00 μB per cell.

Cell and atoms, written as Quantum ESPRESSO input:
```
&SYSTEM
  ibrav = 0, nat = 12, ntyp = 3
/
ATOMIC_SPECIES
Pr 140.91 Pr.upf
Dy 162.50 Dy.upf
Tl 204.38 Tl.upf
ATOMIC_POSITIONS angstrom
Pr 0.0000 0.0000 0.0000
Dy 0.0000 0.0000 4.8225
Dy 0.0000 0.0000 9.5642
Tl 0.0000 2.3984 2.4594
Tl 0.0000 2.3984 7.1933
Tl 0.0000 2.3984 11.9272
Tl 2.3984 0.0000 2.4594
Tl 2.3984 0.0000 7.1933
Tl 2.3984 0.0000 11.9272
Tl 2.3984 2.3984 0.0000
Tl 2.3984 2.3984 4.8165
Tl 2.3984 2.3984 9.5701
CELL_PARAMETERS angstrom
4.7968 0.0000 0.0000
0.0000 4.7968 0.0000
0.0000 0.0000 14.3867
```

=====

Density functional theory data (PBE) for a relaxed structure of Pr2Dy6Tl. Values from VASP.

Values from the calculation:
For the volume, the calculation gives 289.1 Å³ per cell. The space group is Immm. The density is 8.4 g/cm³. Its crystal system is orthorhombic. The calculation puts the formation energy at -0.001 eV/atom. Its size of the total moment is 0.00 μB per cell.

Cell and atoms, written as Quantum ESPRESSO input:
```
&SYSTEM
  ibrav = 0, nat = 9, ntyp = 3
/
ATOMIC_SPECIES
Pr 140.91 Pr.upf
Dy 162.50 Dy.upf
Tl 204.38 Tl.upf
ATOMIC_POSITIONS angstrom
Pr 0.0000 0.0000 2.4260
Pr 0.0000 0.0000 13.5652
Dy 1.7656 -1.6604 5.1672
Dy 1.7656 2.0715 0.0000
Dy 1.7656 1.6604 5.1672
Dy 0.0000 3.4597 2.8283
Dy 0.0000 3.0486 7.9956
Dy 0.0000 6.7805 2.8283
Tl 0.0000 5.1201 0.0000
CELL_PARAMETERS angstrom
-1.7656 5.1201 7.9956
1.7656 -5.1201 7.9956
1.7656 5.1201 -7.9956
```

=====

Density functional theory data (PBE) for a relaxed structure of Pr5DyTl. Values from VASP.

Values from the calculation:
For the volume, the calculation gives 250.3 Å³ per cell. The space group is P4/mmm. The density is 7.1 g/cm³. Its crystal system is tetragonal. The calculation puts the formation energy at 0.158 eV/atom. Its size of the total moment is 0.00 μB per cell.

Cell and atoms, written as Quantum ESPRESSO input:
```
&SYSTEM
  ibrav = 0, nat = 7, ntyp = 3
/
ATOMIC_SPECIES
Pr 140.91 Pr.upf
Dy 162.50 Dy.upf
Tl 204.38 Tl.upf
ATOMIC_POSITIONS angstrom
Pr 0.0000 0.0000 0.0000
Pr 0.0000 2.4499 2.5710
Pr 0.0000 2.4499 7.8547
Pr 2.4499 0.0000 2.5710
Pr 2.4499 0.0000 7.8547
Dy 2.4499 2.4499 5.2128
Tl 2.4499 2.4499 0.0000
CELL_PARAMETERS angstrom
4.8999 0.0000 0.0000
0.0000 4.8999 0.0000
0.0000 0.0000 10.4257
```

=====

Density functional theory data (PBE) for a relaxed structure of Pr5DyTl6. Values from VASP.

Values from the calculation:
For the volume, the calculation gives 358.6 Å³ per cell. The space group is C2/m. The density is 9.7 g/cm³. Its crystal system is monoclinic. The calculation puts the formation energy at -0.383 eV/atom. Its size of the total moment is 0.00 μB per cell.

Cell and atoms, written as Quantum ESPRESSO input:
```
&SYSTEM
  ibrav = 0, nat = 12, ntyp = 3
/
ATOMIC_SPECIES
Pr 140.91 Pr.upf
Dy 162.50 Dy.upf
Tl 204.38 Tl.upf
ATOMIC_POSITIONS angstrom
Pr 0.0000 0.0000 0.0000
Pr 3.1768 5.5718 2.2583
Pr 4.7787 2.8529 0.0000
Pr 4.7787 -2.8529 0.0000
Pr 3.1768 -5.5718 2.2583
Dy 3.1768 0.0000 2.2583
Tl 1.6309 2.7075 1.1604
Tl 0.0675 0.0000 3.4428
Tl 1.6309 -2.7075 1.1604
Tl 4.7228 2.7075 3.3563
Tl 6.2862 0.0000 1.0739
Tl 4.7228 -2.7075 3.3563
CELL_PARAMETERS angstrom
4.7787 -8.3061 0.0000
4.7787 8.3061 0.0000
-3.2038 0.0000 4.5167
```

=====

Calculated total energy in order - -38.5; -39.5; -29.8; -47.3 eV for the cell shown